Record 1
Material: La2Pm3Pr6Y
Method: DFT, PBE
State: relaxed

Results
formation energy	14	meV/atom
crystal system	monoclinic

a b c (Å): 6.4028 11.0894 12.2463
angles (deg): 90.00 100.13 90.00
Space group C2/m (No. 12)
Unique sites:
1 La 0.0000 0.1670 0.0000
2 Pm 0.0000 0.0000 0.5000
3 Pm 0.0000 0.3336 0.5000
4 Pr 0.2487 0.5000 0.7481
5 Pr 0.2496 0.1662 0.7483
6 Y 0.0000 0.5000 0.0000

***

Record 2
Material: Cd2In3Br7
Method: DFT, PBE
State: relaxed

Results
formation energy from raw total energies	-0.669	eV/atom
crystal system	orthorhombic

a b c (Å): 5.5901 27.0153 5.5147
angles (deg): 90.00 90.00 90.00
Space group Cmmm (No. 65)
Unique sites:
1 Cd 0.0000 0.1046 0.0000
2 In 0.0000 0.3262 0.5000
3 In 0.0000 0.5000 0.5000
4 Br 0.0000 0.0000 0.0000
5 Br 0.0000 0.0960 0.5000
6 Br 0.0000 0.2018 0.0000
7 Br 0.0000 0.4043 0.0000

***

Record 3
Material: KNbTeN2
Method: DFT, PBE
State: relaxed

Results
formation energy from raw total energies	2.354	eV/atom
energy relative to the lowest polymorph listed for this composition	49.18	kcal/mol of atoms
crystal system	tetragonal

a b c (Å): 4.6026 4.6026 6.3522
angles (deg): 90.00 90.00 90.00
Space group P4/mmm (No. 123)
Unique sites:
1 K 0.0000 0.0000 0.0000
2 Nb 0.5000 0.5000 0.5000
3 Te 0.0000 0.0000 0.5000
4 N 0.0000 0.5000 0.0000

***

Record 4
Material: Nd4SmY2
Method: DFT, PBE
State: relaxed

Results
formation energy	462	meV/atom
energy relative to the lowest polymorph listed for this composition	9.34	kcal/mol of atoms
crystal system	orthorhombic

a b c (Å): 6.2335 13.1005 6.0610
angles (deg): 90.00 90.00 90.00
Space group Cmmm (No. 65)
Unique sites:
1 Nd 0.0000 0.1364 0.0000
2 Nd 0.0000 0.3049 0.5000
3 Sm 0.0000 0.0000 0.5000
4 Y 0.0000 0.3861 0.0000

***

Record 5
Material: La2TaBr
Method: DFT, PBE
State: relaxed

Results
formation energy from raw total energies	-0.273	eV/atom
energy relative to the lowest polymorph listed for this composition	0.00	kcal/mol of atoms
crystal system	tetragonal

a b c (Å): 3.4672 3.4672 9.2417
angles (deg): 90.00 90.00 90.00
Space group P4/mmm (No. 123)
Unique sites:
1 La 0.0000 0.0000 0.2335
2 Ta 0.5000 0.5000 0.0000
3 Br 0.5000 0.5000 0.5000

***

Record 6
Material: La3HgN
Method: DFT, PBE
State: relaxed

Results
formation energy from raw total energies	-0.812	eV/atom
crystal system	monoclinic

a b c (Å): 10.1670 10.1669 7.2270
angles (deg): 90.00 134.46 90.00
Space group C2/m (No. 12)
Unique sites:
1 La 0.0000 0.2049 0.0000
2 La 0.0000 0.2589 0.5000
3 La 0.2141 0.5000 0.0188
4 Hg 0.2467 0.5000 0.5005
5 N 0.2500 0.2500 0.0000

***

Record 7
Material: Pu2TlI6
Method: DFT, PBE
State: relaxed

Results
formation energy from raw total energies	-1.020	eV/atom
crystal system	trigonal

a b c (Å): 8.0270 8.0270 7.7031
angles (deg): 90.00 90.00 120.00
Space group P-31m (No. 162)
Unique sites:
1 Pu 0.3333 0.6667 0.0000
2 Tl 0.0000 0.0000 0.5000
3 I 0.0000 0.3646 0.7612

***

Record 8
Material: CsSbF2
Method: DFT, PBE
State: relaxed

Results
formation energy from raw total energies	-1.488	eV/atom
energy relative to the lowest polymorph listed for this composition	9.76	kcal/mol of atoms
crystal system	tetragonal

a b c (Å): 7.2508 7.2508 7.7768
angles (deg): 90.00 90.00 90.00
Space group I-42d (No. 122)
Unique sites:
1 Cs 0.0000 0.0000 0.0000
2 Sb 0.0000 0.0000 0.5000
3 F 0.1914 0.2500 0.6250

***

Record 9
Material: FeHgBr2
Method: DFT, PBE
State: relaxed

Results
formation energy from raw total energies	-0.038	eV/atom
energy relative to the lowest polymorph listed for this composition	3.71	kcal/mol of atoms
crystal system	tetragonal

a b c (Å): 3.2896 3.2896 10.0022
angles (deg): 90.00 90.00 90.00
Space group P4/mmm (No. 123)
Unique sites:
1 Fe 0.0000 0.0000 0.0000
2 Hg 0.0000 0.0000 0.5000
3 Br 0.5000 0.5000 0.1607

***

Record 10
Material: ScReOs2
Method: DFT, PBE
State: relaxed

Results
formation energy	119	meV/atom
crystal system	monoclinic

a b c (Å): 2.7739 4.4136 5.2114
angles (deg): 90.00 103.04 90.00
Space group Pm (No. 6)
Unique sites:
1 Sc 0.0000 0.0000 0.0000
2 Re 0.1858 0.5000 0.7162
3 Os 0.4767 0.0000 0.5100
4 Os 0.7546 0.5000 0.2071

***

Record 11
Material: LaNi2Ir
Method: DFT, PBE
State: relaxed

Results
formation energy	-103	meV/atom
crystal system	monoclinic

a b c (Å): 4.1372 4.2079 4.3897
angles (deg): 90.00 107.04 90.00
Space group Pm (No. 6)
Unique sites:
1 La 0.0000 0.0000 0.0000
2 Ni 0.5085 0.0000 0.5034
3 Ni 0.6568 0.5000 0.2999
4 Ir 0.2619 0.5000 0.6184

***

Record 12
Material: La4HgSbC
Method: DFT, PBE
State: relaxed

Results
formation energy from raw total energies	-0.532	eV/atom
crystal system	orthorhombic

a b c (Å): 7.2565 16.3740 7.2647
angles (deg): 90.00 90.00 90.00
Space group Cmcm (No. 63)
Unique sites:
1 La 0.0000 0.0808 0.2500
2 La 0.0000 0.4121 0.2500
3 La 0.2500 0.2500 0.0000
4 Hg 0.0000 0.1142 0.7500
5 Sb 0.0000 0.3870 0.7500
6 C 0.0000 0.2587 0.2500

***

Record 13
Material: LaSm2PbN
Method: DFT, PBE
State: relaxed

Results
formation energy from raw total energies	-0.911	eV/atom
crystal system	tetragonal

a b c (Å): 4.9934 4.9934 5.0841
angles (deg): 90.00 90.00 90.00
Space group P4/mmm (No. 123)
Unique sites:
1 La 0.0000 0.0000 0.0000
2 Sm 0.0000 0.5000 0.5000
3 Pb 0.5000 0.5000 0.0000
4 N 0.0000 0.0000 0.5000

***

Record 14
Material: Sr2CaCd2Pd5
Method: DFT, PBE
State: relaxed

Results
formation energy	-471	meV/atom
crystal system	tetragonal

a b c (Å): 10.6954 10.6954 3.9442
angles (deg): 90.00 90.00 90.00
Space group P4/mbm (No. 127)
Unique sites:
1 Sr 0.1745 0.3255 0.0000
2 Ca 0.0000 0.0000 0.0000
3 Cd 0.1239 0.6239 0.0000
4 Pd 0.0000 0.5000 0.5000
5 Pd 0.0601 0.7947 0.5000

***

Record 15
Material: Er5Al2Sn
Method: DFT, PBE
State: relaxed

Results
formation energy	-441	meV/atom
crystal system	tetragonal

a b c (Å): 7.9095 7.9095 13.5279
angles (deg): 90.00 90.00 90.00
Space group I4/mcm (No. 140)
Unique sites:
1 Er 0.0000 0.0000 0.0000
2 Er 0.1629 0.3371 0.1472
3 Al 0.1267 0.3733 0.5000
4 Sn 0.0000 0.0000 0.2500

***

Record 16
Material: HoTm3Sb
Method: DFT, PBE
State: relaxed

Results
formation energy from raw total energies	-0.357	eV/atom
crystal system	orthorhombic

a b c (Å): 10.4807 3.9208 14.3326
angles (deg): 90.00 90.00 90.00
Space group Pnma (No. 62)
Unique sites:
1 Ho 0.1618 0.2500 0.0298
2 Tm 0.0870 0.2500 0.4253
3 Tm 0.1161 0.7500 0.2349
4 Tm 0.1314 0.7500 0.8182
5 Sb 0.1289 0.2500 0.6384

***

Record 17
Material: Sr2Se
Method: DFT, PBE
State: relaxed

Results
formation energy from raw total energies	-1.171	eV/atom
crystal system	tetragonal

a b c (Å): 3.9048 3.9048 14.1921
angles (deg): 90.00 90.00 90.00
Space group I4/mmm (No. 139)
Unique sites:
1 Sr 0.0000 0.0000 0.1291
2 Se 0.0000 0.0000 0.5000

***

Record 18
Material: ZrPbAu2
Method: DFT, PBE
State: relaxed

Results
formation energy	-242	meV/atom
crystal system	tetragonal

a b c (Å): 4.3463 4.3463 4.4458
angles (deg): 90.00 90.00 90.00
Space group P4/mmm (No. 123)
Unique sites:
1 Zr 0.0000 0.0000 0.0000
2 Pb 0.5000 0.5000 0.0000
3 Au 0.0000 0.5000 0.5000

***

Record 19
Material: Pm2MgHg2
Method: DFT, PBE
State: relaxed

Results
formation energy	-391	meV/atom
crystal system	tetragonal

a b c (Å): 8.2458 8.2458 4.0878
angles (deg): 90.00 90.00 90.00
Space group P4/mbm (No. 127)
Unique sites:
1 Pm 0.1667 0.3333 0.0000
2 Mg 0.0000 0.0000 0.5000
3 Hg 0.1343 0.6343 0.5000

***

Record 20
Material: Nd2PuPaP4
Method: DFT, PBE
State: relaxed

Results
formation energy	-1402	meV/atom
crystal system	monoclinic

a b c (Å): 7.0345 4.0726 7.0663
angles (deg): 90.00 109.48 90.00
Space group P2/m (No. 10)
Unique sites:
1 Nd 0.0000 0.0000 0.0000
2 Nd 0.5000 0.5000 0.0000
3 Pu 0.0000 0.5000 0.5000
4 Pa 0.5000 0.0000 0.5000
5 P 0.2478 0.0000 0.7339
6 P 0.2588 0.5000 0.2657